Compound: KCa2Se
Source: Alexandria
Functional: PBE
Structure: relaxed

Geometry as CIF:
```
data_KCa2Se
_cell_length_a 11.109
_cell_length_b 11.109
_cell_length_c 11.109
_cell_angle_alpha 21.45
_cell_angle_beta 21.45
_cell_angle_gamma 21.45
_space_group_name_H-M_alt 'P 1'
_space_group_IT_number 1
_space_group_name_Hall 'P 1'
loop_
_atom_site_label
_atom_site_type_symbol
_atom_site_fract_x
_atom_site_fract_y
_atom_site_fract_z
_atom_site_occupancy
K1 K 0.000 0.000 0.000 1
Ca1 Ca 0.221 0.221 0.221 1
Ca2 Ca 0.779 0.779 0.779 1
Se1 Se 0.500 0.500 0.500 1
```

Properties
* formation energy without anion corrections: -851 meV/atom
* raw total energy: -3.00 eV/atom

---

Compound: KCa2Se
Source: Alexandria
Functional: PBE
Structure: relaxed

Geometry as CIF:
```
data_KCa2Se
_cell_length_a 7.347
_cell_length_b 7.347
_cell_length_c 7.347
_cell_angle_alpha 149.57
_cell_angle_beta 130.30
_cell_angle_gamma 59.40
_space_group_name_H-M_alt 'P 1'
_space_group_IT_number 1
_space_group_name_Hall 'P 1'
loop_
_atom_site_label
_atom_site_type_symbol
_atom_site_fract_x
_atom_site_fract_y
_atom_site_fract_z
_atom_site_occupancy
K1 K 0.000 0.000 0.000 1
Ca1 Ca 0.327 0.827 0.500 1
Ca2 Ca 0.673 0.173 0.500 1
Se1 Se 0.500 0.500 0.000 1
```

Properties
* formation energy without anion corrections: -796 meV/atom
* raw total energy: -2.94 eV/atom

---

Compound: KCa2Se
Source: Alexandria
Functional: PBE
Structure: relaxed

Geometry as CIF:
```
data_KCa2Se
_cell_length_a 5.900
_cell_length_b 5.900
_cell_length_c 5.900
_cell_angle_alpha 60.00
_cell_angle_beta 60.00
_cell_angle_gamma 60.00
_space_group_name_H-M_alt 'P 1'
_space_group_IT_number 1
_space_group_name_Hall 'P 1'
loop_
_atom_site_label
_atom_site_type_symbol
_atom_site_fract_x
_atom_site_fract_y
_atom_site_fract_z
_atom_site_occupancy
K1 K 0.000 0.000 0.000 1
Ca1 Ca 0.250 0.250 0.250 1
Ca2 Ca 0.500 0.500 0.500 1
Se1 Se 0.750 0.750 0.750 1
```

Properties
* formation energy without anion corrections: -201 meV/atom
* raw total energy: -2.35 eV/atom

---

Compound: KCa2Se
Source: Alexandria
Functional: PBE
Structure: relaxed

Geometry as CIF:
```
data_KCa2Se
_cell_length_a 7.794
_cell_length_b 7.794
_cell_length_c 7.794
_cell_angle_alpha 101.35
_cell_angle_beta 101.35
_cell_angle_gamma 127.34
_space_group_name_H-M_alt 'P 1'
_space_group_IT_number 1
_space_group_name_Hall 'P 1'
loop_
_atom_site_label
_atom_site_type_symbol
_atom_site_fract_x
_atom_site_fract_y
_atom_site_fract_z
_atom_site_occupancy
K1 K 0.000 0.000 0.000 1
K2 K 0.750 0.250 0.500 1
Ca1 Ca 0.240 0.625 0.115 1
Ca2 Ca 0.375 0.490 0.615 1
Ca3 Ca 0.510 0.125 0.885 1
Ca4 Ca 0.875 0.760 0.385 1
Se1 Se 0.250 0.750 0.500 1
Se2 Se 0.500 0.500 0.000 1
```

Properties
* formation energy without anion corrections: -653 meV/atom
* raw total energy: -2.80 eV/atom

---

Compound: KCaSe2
Source: Alexandria
Functional: PBE
Structure: relaxed

Geometry as CIF:
```
data_KCaSe2
_cell_length_a 3.985
_cell_length_b 3.985
_cell_length_c 8.648
_cell_angle_alpha 90.00
_cell_angle_beta 90.00
_cell_angle_gamma 90.00
_space_group_name_H-M_alt 'P 1'
_space_group_IT_number 1
_space_group_name_Hall 'P 1'
loop_
_atom_site_label
_atom_site_type_symbol
_atom_site_fract_x
_atom_site_fract_y
_atom_site_fract_z
_atom_site_occupancy
K1 K 0.000 0.000 0.000 1
Ca1 Ca 0.500 0.500 0.532 1
Se1 Se 0.000 0.000 0.624 1
Se2 Se 0.500 0.500 0.196 1
```

Properties
* formation energy without anion corrections: -1166 meV/atom
* raw total energy: -3.68 eV/atom

---

Compound: KCaSe2
Source: Alexandria
Functional: PBE
Structure: relaxed

Geometry as CIF:
```
data_KCaSe2
_cell_length_a 8.772
_cell_length_b 8.772
_cell_length_c 8.772
_cell_angle_alpha 157.03
_cell_angle_beta 153.14
_cell_angle_gamma 35.63
_space_group_name_H-M_alt 'P 1'
_space_group_IT_number 1
_space_group_name_Hall 'P 1'
loop_
_atom_site_label
_atom_site_type_symbol
_atom_site_fract_x
_atom_site_fract_y
_atom_site_fract_z
_atom_site_occupancy
K1 K 0.000 0.000 0.000 1
Ca1 Ca 0.754 0.254 0.500 1
Se1 Se 0.170 0.670 0.500 1
Se2 Se 0.383 0.383 0.000 1
```

Properties
* formation energy without anion corrections: -1232 meV/atom
* raw total energy: -3.75 eV/atom